# Cs2TlAuBr6, optimized geometry, DFT PBE-GGA
# - space-group type = C2/m, No. 12
# - calculated density (kg/m3) = 5332
# - E (eV/cell) = -27.00
data_Cs2TlAuBr6
_symmetry_space_group_name_H-M 'P 1'
_symmetry_Int_Tables_number 1
_symmetry_space_group_name_Hall 'P 1'
_cell_length_a 7.9631
_cell_length_b 7.9631
_cell_length_c 7.9632
_cell_angle_alpha 120.00
_cell_angle_beta 120.00
_cell_angle_gamma 60.00
loop_
_atom_site_label
_atom_site_type_symbol
_atom_site_fract_x
_atom_site_fract_y
_atom_site_fract_z
Br1 Br 0.2573 0.7414 0.7575
Br2 Br 0.2586 0.7427 0.2425
Br3 Br 0.7419 0.7419 0.2409
Br4 Br 0.7414 0.2573 0.7575
Br5 Br 0.2581 0.2581 0.7591
Br6 Br 0.7427 0.2586 0.2425
Tl1 Tl 0.0000 0.0000 0.5000
Cs1 Cs 0.7498 0.7498 0.7500
Cs2 Cs 0.2502 0.2502 0.2500
Au1 Au 0.5000 0.5000 0.0000